[1]
Material: TlInSbI2
Method: DFT, PBE
State: optimized geometry

* offset from the most stable computed form: 0.0 meV per atom
* raw formation energy: -0.0119 eV/atom
* symmetry: No. 123
* total energy: -12.4 eV/f.u.

Unit cell a=6.186 b=6.186 c=5.751 alpha=90.00 beta=90.00 gamma=90.00
Fractional coordinates of all 5 atoms:
Tl1 0.000 0.000 0.000
In1 0.500 0.500 0.500
Sb1 0.500 0.500 0.000
I1 0.000 0.500 0.500
I2 0.500 0.000 0.500

=====

[2]
Material: VInSbI2
Method: DFT, PBE
State: optimized geometry

* offset from the most stable computed form: 736.2 meV per atom
* raw formation energy: 0.8136 eV/atom
* symmetry: No. 123
* total energy: -15.0 eV/f.u.

Unit cell a=5.885 b=5.885 c=5.776 alpha=90.00 beta=90.00 gamma=90.00
Fractional coordinates of all 5 atoms:
V1 0.000 0.000 0.000
In1 0.500 0.500 0.500
Sb1 0.500 0.500 0.000
I1 0.000 0.500 0.500
I2 0.500 0.000 0.500

=====

[3]
Material: VInSb2I
Method: DFT, PBE
State: optimized geometry

* offset from the most stable computed form: 868.6 meV per atom
* raw formation energy: 1.0530 eV/atom
* symmetry: No. 123
* total energy: -16.4 eV/f.u.

Unit cell a=5.552 b=5.552 c=5.950 alpha=90.00 beta=90.00 gamma=90.00
Fractional coordinates of all 5 atoms:
V1 0.000 0.000 0.000
In1 0.500 0.500 0.500
Sb1 0.000 0.500 0.500
Sb2 0.500 0.000 0.500
I1 0.500 0.500 0.000

=====

[4]
Material: VInSbI2
Method: DFT, PBE
State: optimized geometry

* offset from the most stable computed form: 0.0 meV per atom
* raw formation energy: 0.0775 eV/atom
* symmetry: No. 123
* total energy: -18.7 eV/f.u.

Unit cell a=5.679 b=5.679 c=5.264 alpha=90.00 beta=90.00 gamma=90.00
Fractional coordinates of all 5 atoms:
V1 0.000 0.000 0.000
In1 0.500 0.500 0.500
Sb1 0.000 0.000 0.500
I1 0.000 0.500 0.000
I2 0.500 0.000 0.000

=====

[5]
Material: VInSb2I
Method: DFT, PBE
State: optimized geometry

* offset from the most stable computed form: 0.0 meV per atom
* raw formation energy: 0.1845 eV/atom
* symmetry: No. 123
* total energy: -20.7 eV/f.u.

Unit cell a=5.105 b=5.105 c=6.121 alpha=90.00 beta=90.00 gamma=90.00
Fractional coordinates of all 5 atoms:
V1 0.000 0.000 0.000
In1 0.500 0.500 0.500
Sb1 0.000 0.500 0.000
Sb2 0.500 0.000 0.000
I1 0.000 0.000 0.500

=====

[6]
Material: InSbW2I
Method: DFT, PBE
State: optimized geometry

* raw formation energy: 2.4389 eV/atom
* symmetry: No. 123
* total energy: -22.1 eV/f.u.

Unit cell a=5.080 b=5.080 c=5.909 alpha=90.00 beta=90.00 gamma=90.00
Fractional coordinates of all 5 atoms:
In1 0.000 0.000 0.000
Sb1 0.500 0.500 0.000
W1 0.000 0.500 0.500
W2 0.500 0.000 0.500
I1 0.500 0.500 0.500

=====

[7]
Material: YInSb2I
Method: DFT, PBE
State: optimized geometry

* offset from the most stable computed form: 319.8 meV per atom
* raw formation energy: 0.2584 eV/atom
* symmetry: No. 123
* total energy: -17.7 eV/f.u.

Unit cell a=5.541 b=5.541 c=5.810 alpha=90.00 beta=90.00 gamma=90.00
Fractional coordinates of all 5 atoms:
Y1 0.000 0.000 0.000
In1 0.500 0.500 0.500
Sb1 0.000 0.500 0.500
Sb2 0.500 0.000 0.500
I1 0.500 0.500 0.000

=====

[8]
Material: YInSb2I
Method: DFT, PBE
State: optimized geometry

* offset from the most stable computed form: 0.0 meV per atom
* raw formation energy: -0.0614 eV/atom
* symmetry: No. 123
* total energy: -19.3 eV/f.u.

Unit cell a=5.865 b=5.865 c=6.048 alpha=90.00 beta=90.00 gamma=90.00
Fractional coordinates of all 5 atoms:
Y1 0.000 0.000 0.000
In1 0.500 0.500 0.500
Sb1 0.000 0.500 0.000
Sb2 0.500 0.000 0.000
I1 0.000 0.000 0.500

=====

[9]
Material: ZnInSb2I
Method: DFT, PBE
State: optimized geometry

* offset from the most stable computed form: 0.0 meV per atom
* raw formation energy: 0.3098 eV/atom
* symmetry: No. 123
* total energy: -12.3 eV/f.u.

Unit cell a=5.228 b=5.228 c=6.096 alpha=90.00 beta=90.00 gamma=90.00
Fractional coordinates of all 5 atoms:
Zn1 0.000 0.000 0.000
In1 0.500 0.500 0.500
Sb1 0.000 0.500 0.000
Sb2 0.500 0.000 0.000
I1 0.000 0.000 0.500

=====

[10]
Material: ZnInSb2I
Method: DFT, PBE
State: optimized geometry

* offset from the most stable computed form: 340.1 meV per atom
* raw formation energy: 0.6498 eV/atom
* symmetry: No. 123
* total energy: -10.6 eV/f.u.

Unit cell a=5.728 b=5.728 c=6.039 alpha=90.00 beta=90.00 gamma=90.00
Fractional coordinates of all 5 atoms:
Zn1 0.000 0.000 0.000
In1 0.500 0.500 0.500
Sb1 0.000 0.500 0.500
Sb2 0.500 0.000 0.500
I1 0.500 0.500 0.000

=====

[11]
Material: ZrInSb2I
Method: DFT, PBE
State: optimized geometry

* offset from the most stable computed form: 0.0 meV per atom
* raw formation energy: -0.0078 eV/atom
* symmetry: No. 123
* total energy: -21.1 eV/f.u.

Unit cell a=5.558 b=5.558 c=6.025 alpha=90.00 beta=90.00 gamma=90.00
Fractional coordinates of all 5 atoms:
Zr1 0.000 0.000 0.000
In1 0.500 0.500 0.500
Sb1 0.000 0.500 0.000
Sb2 0.500 0.000 0.000
I1 0.000 0.000 0.500

=====

[12]
Material: ZrInSb2I
Method: DFT, PBE
State: optimized geometry

* offset from the most stable computed form: 848.5 meV per atom
* raw formation energy: 0.8407 eV/atom
* symmetry: No. 123
* total energy: -16.9 eV/f.u.

Unit cell a=5.512 b=5.512 c=5.741 alpha=90.00 beta=90.00 gamma=90.00
Fractional coordinates of all 5 atoms:
Zr1 0.000 0.000 0.000
In1 0.500 0.500 0.500
Sb1 0.000 0.500 0.500
Sb2 0.500 0.000 0.500
I1 0.500 0.500 0.000